A geometry-optimized K2HWF structure, computed with PBE with a Hubbard U. Values from VASP.

```
&SYSTEM
  ibrav = 0, nat = 5, ntyp = 4
/
ATOMIC_SPECIES
K 39.10 K.upf
H 1.01 H.upf
W 183.84 W.upf
F 19.00 F.upf
ATOMIC_POSITIONS crystal
K 0.000 0.500 0.000
K 0.500 0.000 0.000
H 0.000 0.000 0.500
W 0.000 0.000 0.000
F 0.500 0.500 0.500
CELL_PARAMETERS angstrom
6.469 0.000 0.000
0.000 6.469 0.000
0.000 0.000 3.850
```

Results
total magnetization	4.2	μB/f.u.
E	-14.454	eV per cell
mass density	2.91	g/cm³
calculated volume	161	Å³ per cell